No. 1
Below is a relaxed structure of Sr3Al2Sn2, with properties calculated at the GGA-PBEsol level.

a b c (Å): 4.4551 4.8794 10.4352
angles (deg): 103.52 102.33 90.00
Fractional positions:
Sr 0.1832 0.1832 0.3664
Sr 0.8168 0.8168 0.6336
Sr 0.5000 0.0000 0.0000
Sn 0.3585 0.3585 0.7170
Sn 0.6415 0.6415 0.2830
Al 0.9364 0.4364 0.8727
Al 0.0636 0.5636 0.1273

- DOS(E_F) (states/eV/f.u.) = 2.07
- space group = Immm (71)
- E_form (meV per atom) = -529
- density (g/cm3) = 4.3


No. 2
Below is a relaxed structure of HfCrAgS4, with properties calculated at the GGA-PBEsol level.

a b c (Å): 3.5393 5.9834 7.1567
angles (deg): 115.14 104.32 90.00
Fractional positions:
Cr 0.7529 0.7684 0.5057
S 0.3657 0.0182 0.7314
S 0.6293 0.9575 0.2585
S 0.8605 0.5461 0.7209
S 0.1457 0.4991 0.2914
Hf 0.2479 0.2335 0.4957
Ag 0.4982 0.4772 0.9963

- DOS(E_F) (states/eV/f.u.) = 0.03
- offset from the most stable computed form (meV per atom) = 14
- space group = Cm (8)
- energy relative to the elements, uncorrected (meV/atom) = -936
- density (g/cm3) = 5.9


No. 3
Below is a relaxed structure of AgOsAu, with properties calculated at the GGA-PBEsol level.

a b c (Å): 4.3033 4.3033 4.3033
angles (deg): 60.00 60.00 60.00
Fractional positions:
Os 0.0000 0.0000 0.0000
Au 0.2500 0.2500 0.2500
Ag 0.5000 0.5000 0.5000

- DOS(E_F) (states/eV/f.u.) = 0.64
- offset from the most stable computed form (meV per atom) = 812
- space group = F-43m (216)
- E_form (meV per atom) = 1268
- density (g/cm3) = 14.6


No. 4
Below is a relaxed structure of Ca2ZnFeSi4O12, with properties calculated at the GGA-PBEsol level.

a b c (Å): 5.2594 6.6463 6.6463
angles (deg): 84.42 78.68 78.68
Fractional positions:
Ca 0.0000 0.7030 0.2970
Ca 0.5000 0.2998 0.7002
Zn 0.0000 0.0931 0.9069
Fe 0.5000 0.9047 0.0953
Si 0.0177 0.1942 0.3809
Si 0.9823 0.6191 0.8058
Si 0.4808 0.8068 0.6205
Si 0.5192 0.3795 0.1932
O 0.1004 0.0283 0.2067
O 0.8996 0.7933 0.9717
O 0.3958 0.9734 0.7946
O 0.6042 0.2054 0.0266
O 0.9234 0.1113 0.6127
O 0.0766 0.3873 0.8887
O 0.5736 0.8896 0.3880
O 0.4264 0.6120 0.1104
O 0.2560 0.3316 0.3707
O 0.7440 0.6293 0.6684
O 0.2451 0.6680 0.6281
O 0.7549 0.3719 0.3320

- DOS(E_F) (states/eV/f.u.) = 7.09
- space group = C2 (5)
- energy relative to the elements, uncorrected (meV/atom) = -2576
- density (g/cm3) = 3.8


No. 5
Below is a relaxed structure of CePbAu2, with properties calculated at the GGA-PBEsol level.

a b c (Å): 5.0143 5.0143 5.0143
angles (deg): 60.00 60.00 60.00
Fractional positions:
Pb 0.5000 0.5000 0.5000
Au 0.2500 0.2500 0.2500
Au 0.7500 0.7500 0.7500
Ce 0.0000 0.0000 0.0000

- DOS(E_F) (states/eV/f.u.) = 4.72
- space group = Fm-3m (225)
- E_form (meV per atom) = -521
- density (g/cm3) = 13.8


No. 6
Below is a relaxed structure of CoTcSb2Te, with properties calculated at the GGA-PBEsol level.

a b c (Å): 4.7153 4.7153 4.9799
angles (deg): 90.00 90.00 90.00
Fractional positions:
Sb 0.0000 0.5000 0.0000
Sb 0.5000 0.0000 0.0000
Te 0.0000 0.0000 0.5000
Co 0.0000 0.0000 0.0000
Tc 0.5000 0.5000 0.5000

- DOS(E_F) (states/eV/f.u.) = 5.25
- space group = P4/mmm (123)
- energy relative to the elements, uncorrected (meV/atom) = 948
- density (g/cm3) = 7.9


What is the density in the first record? 4.3 g/cm3


Which value of DOS(E_F) does entry 5 give? 4.72 states/eV/f.u.


Which value of density does entry 6 give? 7.9 g/cm3


What is the DOS(E_F) in the first record? 2.07 states/eV/f.u.